Material: Y3PuTl4Te8
Method: DFT, PBE-GGA
State: optimized geometry

Cell: 9.653 9.653 9.653 Å, 55.17 55.17 55.17°
Element x y z (fractional)
Y: 0.000 0.500 0.500
Y: 0.500 0.000 0.500
Y: 0.500 0.500 0.000
Pu: 0.000 0.000 0.000
Tl: 0.000 0.000 0.500
Tl: 0.000 0.500 0.000
Tl: 0.500 0.000 0.000
Tl: 0.500 0.500 0.500
Te: 0.240 0.240 0.735
Te: 0.240 0.735 0.240
Te: 0.262 0.262 0.262
Te: 0.265 0.760 0.760
Te: 0.735 0.240 0.240
Te: 0.738 0.738 0.738
Te: 0.760 0.265 0.760
Te: 0.760 0.760 0.265

Calculated values
**Uncorrected energy**: -84.2 eV/cell

---

Material: Y2PuTl3Te6
Method: DFT, PBE-GGA
State: optimized geometry

Cell: 7.758 7.758 8.543 Å, 98.71 98.71 119.98°
Element x y z (fractional)
Y: 0.167 0.833 0.000
Y: 0.833 0.167 0.000
Pu: 0.500 0.500 0.000
Tl: 0.000 0.000 0.500
Tl: 0.334 0.666 0.500
Tl: 0.666 0.334 0.500
Te: 0.091 0.428 0.785
Te: 0.234 0.234 0.214
Te: 0.428 0.091 0.785
Te: 0.572 0.909 0.215
Te: 0.766 0.766 0.786
Te: 0.909 0.572 0.215

Calculated values
**Uncorrected energy**: -64.8 eV/cell

---

Material: PuTlZnTe3
Method: DFT, PBE-GGA
State: optimized geometry

Cell: 9.623 4.407 10.280 Å, 90.00 106.85 90.00°
Element x y z (fractional)
Pu: 0.179 0.250 0.146
Pu: 0.821 0.750 0.854
Tl: 0.287 0.750 0.777
Tl: 0.713 0.250 0.223
Zn: 0.414 0.750 0.394
Zn: 0.586 0.250 0.606
Te: 0.040 0.250 0.833
Te: 0.292 0.250 0.473
Te: 0.403 0.750 0.131
Te: 0.597 0.250 0.869
Te: 0.708 0.750 0.527
Te: 0.960 0.750 0.167

Calculated values
**Uncorrected energy**: -62.4 eV/cell

---

Material: Pu2Tl3ZnTe6
Method: DFT, PBE-GGA
State: optimized geometry

Cell: 7.649 7.649 8.470 Å, 98.86 98.86 119.87°
Element x y z (fractional)
Pu: 0.165 0.835 0.000
Pu: 0.835 0.165 0.000
Tl: 0.000 0.000 0.500
Tl: 0.325 0.675 0.500
Tl: 0.675 0.325 0.500
Zn: 0.500 0.500 0.000
Te: 0.114 0.432 0.796
Te: 0.245 0.245 0.215
Te: 0.432 0.114 0.796
Te: 0.568 0.886 0.204
Te: 0.755 0.755 0.785
Te: 0.886 0.568 0.204

Calculated values
**Uncorrected energy**: -62.6 eV/cell

---

Material: Pu3ZrTl3Te8
Method: DFT, PBE-GGA
State: optimized geometry

Cell: 9.206 9.206 7.173 Å, 90.30 90.30 57.68°
Element x y z (fractional)
Pu: 0.000 0.000 0.000
Pu: 0.000 0.500 0.500
Pu: 0.500 0.000 0.500
Zr: 0.500 0.500 0.000
Tl: 0.000 0.500 0.000
Tl: 0.500 0.000 0.000
Tl: 0.500 0.500 0.500
Te: 0.151 0.151 0.712
Te: 0.179 0.658 0.774
Te: 0.342 0.821 0.226
Te: 0.343 0.343 0.252
Te: 0.657 0.657 0.748
Te: 0.658 0.179 0.774
Te: 0.821 0.342 0.226
Te: 0.849 0.849 0.288

Calculated values
**Uncorrected energy**: -93.2 eV/cell

---

Material: Tm2PuTe3
Method: DFT, PBE-GGA
State: optimized geometry

Cell: 7.544 7.544 7.544 Å, 146.72 131.92 59.72°
Element x y z (fractional)
Tm: 0.164 0.164 0.000
Tm: 0.836 0.836 0.000
Pu: 0.500 0.500 0.000
Te: 0.000 0.500 0.500
Te: 0.328 0.828 0.500
Te: 0.672 0.172 0.500

Calculated values
**Uncorrected energy**: -39.7 eV/cell

---

Material: Tm2PuTe4
Method: DFT, PBE-GGA
State: optimized geometry

Cell: 8.369 8.369 8.369 Å, 108.53 108.53 111.37°
Element x y z (fractional)
Tm: 0.375 0.153 0.278
Tm: 0.847 0.125 0.222
Tm: 0.875 0.097 0.722
Tm: 0.903 0.625 0.778
Pu: 0.250 0.750 0.500
Pu: 0.500 0.500 0.000
Te: 0.000 0.839 0.210
Te: 0.122 0.411 0.661
Te: 0.161 0.372 0.161
Te: 0.210 0.000 0.839
Te: 0.540 0.878 0.290
Te: 0.589 0.250 0.710
Te: 0.628 0.790 0.790
Te: 0.750 0.460 0.339

Calculated values
**Energy above the lowest structure with this stoichiometry**: 0.0438 eV per atom

---

Material: TmPuTe2
Method: DFT, PBE-GGA
State: optimized geometry

Cell: 5.335 5.335 5.335 Å, 60.00 60.00 60.00°
Element x y z (fractional)
Tm: 0.000 0.000 0.000
Pu: 0.500 0.500 0.500
Te: 0.250 0.250 0.250
Te: 0.750 0.750 0.750

Calculated values
**Energy above the lowest structure with this stoichiometry**: 0.1563 eV per atom

---

Material: TmPuTe2
Method: DFT, PBE-GGA
State: optimized geometry

Cell: 7.668 7.668 7.668 Å, 32.80 32.80 32.80°
Element x y z (fractional)
Tm: 0.000 0.000 0.000
Pu: 0.500 0.500 0.500
Te: 0.253 0.253 0.253
Te: 0.747 0.747 0.747

Calculated values
**Energy above the lowest structure with this stoichiometry**: 0.0000 eV per atom

---

Material: Tm4PuTe5
Method: DFT, PBE-GGA
State: optimized geometry

Cell: 7.528 7.528 10.599 Å, 118.28 118.28 33.22°
Element x y z (fractional)
Tm: 0.098 0.098 0.395
Tm: 0.297 0.297 0.198
Tm: 0.703 0.703 0.802
Tm: 0.902 0.902 0.605
Pu: 0.500 0.500 0.000
Te: 0.103 0.103 0.897
Te: 0.296 0.296 0.693
Te: 0.500 0.500 0.500
Te: 0.704 0.704 0.307
Te: 0.897 0.897 0.103

Calculated values
**Uncorrected energy**: -59.7 eV/cell

---

What is the formula in the third record?
PuTlZnTe3